Sr4Cu3Si: relaxed, PBE.

Calculated values
- Energy relative to the elements, uncorrected: -172 meV per atom
- Mass density: 4.1 g cm⁻³
- Magnetic moment: 0.00 μB/f.u.
- Space-group type: Pmm2 (25)
- DOS at the Fermi energy: 5.04 states/eV per cell

abc: 4.376 4.655 11.242
angles: 90.00 90.00 90.00
Fractional positions:
Sr  0.000  0.000  0.000
Sr  0.000  0.500  0.494
Sr  0.500  0.000  0.714
Sr  0.500  0.500  0.213
Cu  0.000  0.500  0.802
Cu  0.500  0.000  0.394
Cu  0.500  0.500  0.909
Si  0.000  0.000  0.304